# MgNiOF2

MgNiOF2 after structural relaxation (PBE with a Hubbard U, Alexandria via LeMat-Bulk).

Structure (POSCAR):
```
MgNiOF2
1.0
3.815 0.000 0.000
0.000 3.815 0.000
0.000 0.000 4.058
Mg Ni O F
1 1 1 2
Cartesian
0.000 0.000 0.000 Mg
1.908 1.908 2.029 Ni
1.908 1.908 0.000 O
0.000 1.908 2.029 F
1.908 0.000 2.029 F
```

Values from the calculation:
ρ, g cm⁻³: 3.9
Offset from the most stable computed form, eV/atom: 0.0324
Space group: No. 123
Magnetization, μB/f.u.: 2.00
Total energy, Ry/atom: -0.320
Crystal system: tetragonal